<A>
# Zn4Pt5 | the Alexandria database | PBE-GGA | relaxed
data_Zn4Pt5
_chemical_formula_sum 'Zn8 Pt10'
_cell_length_a 7.5791
_cell_length_b 7.5791
_cell_length_c 5.4453
_cell_angle_alpha 90.00
_cell_angle_beta 90.00
_cell_angle_gamma 120.00
_symmetry_space_group_name_H-M 'P 63/m c m'
_symmetry_Int_Tables_number 193
_symmetry_space_group_name_Hall '-P 6c 2'
loop_
_atom_site_label
_atom_site_fract_x
_atom_site_fract_y
_atom_site_fract_z
Zn1 0.0000 0.0000 0.0000
Zn2 0.0000 0.3617 0.2500
Pt1 0.0000 0.3030 0.7500
Pt2 0.3333 0.6667 0.0000
# DOS(E_F): 8.394 states/eV/cell


<B>
# Zn4Pt5 | the Alexandria database | PBE-GGA | relaxed
data_Zn4Pt5
_chemical_formula_sum 'Zn8 Pt10'
_cell_length_a 8.220
_cell_length_b 8.220
_cell_length_c 4.058
_cell_angle_alpha 90.00
_cell_angle_beta 90.00
_cell_angle_gamma 90.00
_symmetry_space_group_name_H-M 'I 4/m m m'
_symmetry_Int_Tables_number 139
_symmetry_space_group_name_Hall '-I 4 2'
loop_
_atom_site_label
_atom_site_fract_x
_atom_site_fract_y
_atom_site_fract_z
Zn1 0.000 0.318 0.000
Pt1 0.000 0.000 0.000
Pt2 0.170 0.170 0.500
# DOS(E_F): 7.919 states/eV/cell


Most stable structure among those shown: <B>. Next: +5 meV/atom.